1.
The following is a PBE-GGA calculation of a relaxed structure of La6Mg2HN, from Alexandria.

Unit cell a=7.330 b=7.330 c=7.332 alpha=120.03 beta=120.03 gamma=90.02
Positions (direct):
La1 0.759 0.760 0.000
La2 0.759 0.759 0.518
La3 0.241 0.241 0.999
La4 0.759 0.241 0.000
La5 0.241 0.241 0.481
La6 0.241 0.760 0.000
Mg1 0.750 0.250 0.500
Mg2 0.250 0.750 0.500
H1 0.500 0.500 0.999
N1 0.000 0.000 0.000

Results
N(E_F) = 1.047 states/eV per atom

2.
The following is a PBE-GGA calculation of a relaxed structure of La2MgHN, from Alexandria.

Unit cell a=5.522 b=3.505 c=5.522 alpha=90.00 beta=90.00 gamma=90.00
Positions (direct):
H1 0.000 0.500 0.000
Mg1 0.000 0.000 0.000
N1 0.500 0.500 0.500
La1 0.000 0.000 0.500
La2 0.500 0.000 0.000

Results
N(E_F) = 0.672 states/eV per atom

3.
The following is a PBE-GGA calculation of a relaxed structure of NaLa2MgH, from Alexandria.

Unit cell a=5.198 b=5.198 c=4.765 alpha=90.00 beta=90.00 gamma=90.00
Positions (direct):
Na1 0.500 0.500 0.500
Mg1 0.000 0.000 0.500
H1 0.000 0.000 0.000
La1 0.000 0.500 0.000
La2 0.500 0.000 0.000

Results
N(E_F) = 0.817 states/eV per atom

no.,VASP energy (eV/atom)
1,-4.869
2,-3.709
3,-3.269